NaHg2SbRu after structural relaxation. Source: Alexandria via LeMat-Bulk, functional PBE.

Cell lengths 5.080, 5.080, 5.080 Å; angles 90.00, 90.00, 90.00 degrees
Space group P4/mmm (No. 123)
One atom of each set of equivalent atoms:
Na1 0.000 0.000 0.000 [1 per cell]
Hg1 0.000 0.500 0.000 [2 per cell]
Sb1 0.500 0.500 0.500 [1 per cell]
Ru1 0.000 0.000 0.500 [1 per cell]

Calculated values
N(E_F)	6.58	states/eV per cell
formation energy (no corrections)	5.94	eV/f.u.
volume	26.22	Å³/atom
E_tot	-9.385	eV/f.u.